{
  "formula": "Sc4MnTl",
  "functional": "PBE",
  "state": "relaxed",
  "lattice": [[0.000, 4.109, 4.109], [4.109, 0.000, 4.109], [4.109, 4.109, 0.000]],
  "species": ["Sc", "Sc", "Sc", "Sc", "Mn", "Tl"],
  "frac_coords": [[0.376, 0.376, 0.376], [0.376, 0.376, 0.873], [0.376, 0.873, 0.376], [0.873, 0.376, 0.376], [0.750, 0.750, 0.750], [0.000, 0.000, 0.000]],
  "delta_e_f_ev_per_fu": 2.335,
  "volume_a3_per_cell": 139,
  "mass_density_g_cm3": 5.256,
  "magmom_total_mub_per_atom": 0.59,
  "sg": "F-43m, No. 216",
  "de_polymorph_mev_per_atom": 519.8,
  "n_ef_per_ev_fu": 6.73
}